Crystalline ZrScS2 at its relaxed geometry. Source: Alexandria, functional PBE.

Unit cell a=6.450 b=6.450 c=6.450 alpha=90.00 beta=90.00 gamma=90.00
Positions (direct):
Zr 0.000 0.000 0.000
Zr 0.000 0.500 0.500
Zr 0.500 0.000 0.500
Zr 0.500 0.500 0.000
Sc 0.000 0.000 0.500
Sc 0.000 0.500 0.000
Sc 0.500 0.000 0.000
Sc 0.500 0.500 0.500
S 0.250 0.250 0.250
S 0.250 0.250 0.750
S 0.250 0.750 0.250
S 0.250 0.750 0.750
S 0.750 0.250 0.250
S 0.750 0.250 0.750
S 0.750 0.750 0.250
S 0.750 0.750 0.750

Values from the calculation:
The value obtained for the energy is -114.89 eV per cell. The total magnetization comes out at 0.00 μB/f.u. The calculated volume is 67.1 Å³/f.u. As for the symmetry: Fm-3m (225).